1.
# ScAl2P, relaxed, DFT PBE
# Total magnetic moment in μB per formula unit: 0.000
# Energy of formation in eV/atom: -0.4073
data_ScAl2P
_cell_length_a 3.4157
_cell_length_b 3.4157
_cell_length_c 5.8304
_cell_angle_alpha 90.00
_cell_angle_beta 90.00
_cell_angle_gamma 90.00
_symmetry_space_group_name_H-M 'P 4 m m'
_symmetry_Int_Tables_number 99
loop_
_symmetry_equiv_pos_as_xyz
'x,y,z'
'-y,x,z'
'-x,-y,z'
'y,-x,z'
'-x,y,z'
'y,x,z'
'x,-y,z'
'-y,-x,z'
loop_
_atom_site_label
_atom_site_type_symbol
_atom_site_fract_x
_atom_site_fract_y
_atom_site_fract_z
_atom_site_occupancy
Sc1 Sc 0.0000 0.0000 0.0000 1
Al1 Al 0.0000 0.0000 0.5252 1
Al2 Al 0.5000 0.5000 0.2915 1
P1 P 0.5000 0.5000 0.7347 1

***

2.
# ScAlP2, relaxed, DFT PBE
# Total magnetic moment in μB per formula unit: 0.000
# Energy of formation in eV/atom: 0.0824
data_ScAlP2
_cell_length_a 6.4974
_cell_length_b 6.4974
_cell_length_c 6.4974
_cell_angle_alpha 90.00
_cell_angle_beta 90.00
_cell_angle_gamma 90.00
_symmetry_space_group_name_H-M 'F -4 3 m'
_symmetry_Int_Tables_number 216
_symmetry_space_group_name_Hall 'F -4 2 3'
loop_
_atom_site_label
_atom_site_type_symbol
_atom_site_fract_x
_atom_site_fract_y
_atom_site_fract_z
_atom_site_occupancy
Sc1 Sc 0.0000 0.0000 0.0000 1
Al1 Al 0.2500 0.2500 0.2500 1
P1 P 0.0000 0.0000 0.5000 1
P2 P 0.2500 0.2500 0.7500 1

***

3.
# ScAl2P, relaxed, DFT PBE
# Total magnetic moment in μB per formula unit: 0.000
# Energy of formation in eV/atom: -0.4174
data_ScAl2P
_cell_length_a 3.8964
_cell_length_b 3.8964
_cell_length_c 4.4021
_cell_angle_alpha 90.00
_cell_angle_beta 90.00
_cell_angle_gamma 90.00
_symmetry_space_group_name_H-M 'P 4/m m m'
_symmetry_Int_Tables_number 123
_symmetry_space_group_name_Hall '-P 4 2'
loop_
_atom_site_label
_atom_site_type_symbol
_atom_site_fract_x
_atom_site_fract_y
_atom_site_fract_z
_atom_site_occupancy
Sc1 Sc 0.0000 0.0000 0.0000 1
Al1 Al 0.0000 0.5000 0.5000 1
P1 P 0.5000 0.5000 0.0000 1

***

4.
# Sc2AlP, relaxed, DFT PBE
# Total magnetic moment in μB per formula unit: 0.000
# Energy of formation in eV/atom: -0.6632
# Energy above the most stable polymorph in this dataset in eV/atom: 0.206
data_Sc2AlP
_cell_length_a 3.9040
_cell_length_b 3.9040
_cell_length_c 9.6284
_cell_angle_alpha 90.00
_cell_angle_beta 90.00
_cell_angle_gamma 90.00
_symmetry_space_group_name_H-M 'I -4 m 2'
_symmetry_Int_Tables_number 119
_symmetry_space_group_name_Hall 'I -4 -2'
loop_
_atom_site_label
_atom_site_type_symbol
_atom_site_fract_x
_atom_site_fract_y
_atom_site_fract_z
_atom_site_occupancy
Sc1 Sc 0.0000 0.0000 0.0000 1
Sc2 Sc 0.0000 0.5000 0.2500 1
Al1 Al 0.0000 0.5000 0.7500 1
P1 P 0.0000 0.0000 0.5000 1

***

5.
# Sc4AlP, relaxed, DFT PBE
# Total magnetic moment in μB per formula unit: 0.002
# Energy of formation in eV/atom: 0.2391
data_Sc4AlP
_cell_length_a 8.0042
_cell_length_b 8.0042
_cell_length_c 8.0042
_cell_angle_alpha 90.00
_cell_angle_beta 90.00
_cell_angle_gamma 90.00
_symmetry_space_group_name_H-M 'F -4 3 m'
_symmetry_Int_Tables_number 216
_symmetry_space_group_name_Hall 'F -4 2 3'
loop_
_atom_site_label
_atom_site_type_symbol
_atom_site_fract_x
_atom_site_fract_y
_atom_site_fract_z
_atom_site_occupancy
Sc1 Sc 0.1244 0.1244 0.1244 1
Al1 Al 0.2500 0.2500 0.7500 1
P1 P 0.0000 0.0000 0.5000 1

***

6.
# ScAlP2, relaxed, DFT PBE
# Total magnetic moment in μB per formula unit: 0.000
# Energy of formation in eV/atom: -0.4821
data_ScAlP2
_cell_length_a 3.7077
_cell_length_b 5.2000
_cell_length_c 7.0698
_cell_angle_alpha 90.00
_cell_angle_beta 90.00
_cell_angle_gamma 90.00
_symmetry_space_group_name_H-M 'I m m m'
_symmetry_Int_Tables_number 71
_symmetry_space_group_name_Hall '-I 2 2'
loop_
_atom_site_label
_atom_site_type_symbol
_atom_site_fract_x
_atom_site_fract_y
_atom_site_fract_z
_atom_site_occupancy
Sc1 Sc 0.0000 0.0000 0.0000 1
Al1 Al 0.0000 0.0000 0.5000 1
P1 P 0.0000 0.5000 0.2197 1

***

7.
# ScAlP2, relaxed, DFT PBE
# Total magnetic moment in μB per formula unit: 0.000
# Energy of formation in eV/atom: -0.8094
data_ScAlP2
_cell_length_a 3.6643
_cell_length_b 3.6643
_cell_length_c 5.3083
_cell_angle_alpha 90.00
_cell_angle_beta 90.00
_cell_angle_gamma 90.00
_symmetry_space_group_name_H-M 'P 4/m m m'
_symmetry_Int_Tables_number 123
_symmetry_space_group_name_Hall '-P 4 2'
loop_
_atom_site_label
_atom_site_type_symbol
_atom_site_fract_x
_atom_site_fract_y
_atom_site_fract_z
_atom_site_occupancy
Sc1 Sc 0.0000 0.0000 0.0000 1
Al1 Al 0.5000 0.5000 0.5000 1
P1 P 0.0000 0.0000 0.5000 1
P2 P 0.5000 0.5000 0.0000 1

***

8.
# ScAl2P, relaxed, DFT PBE
# Total magnetic moment in μB per formula unit: 0.000
# Energy of formation in eV/atom: -0.3652
data_ScAl2P
_cell_length_a 2.8898
_cell_length_b 4.5281
_cell_length_c 5.2652
_cell_angle_alpha 90.00
_cell_angle_beta 90.00
_cell_angle_gamma 90.00
_symmetry_space_group_name_H-M 'P m m 2'
_symmetry_Int_Tables_number 25
loop_
_symmetry_equiv_pos_as_xyz
'x,y,z'
'-x,-y,z'
'-x,y,z'
'x,-y,z'
loop_
_atom_site_label
_atom_site_type_symbol
_atom_site_fract_x
_atom_site_fract_y
_atom_site_fract_z
_atom_site_occupancy
Sc1 Sc 0.0000 0.0000 0.0000 1
Al1 Al 0.5000 0.0000 0.4934 1
Al2 Al 0.5000 0.5000 0.7493 1
P1 P 0.5000 0.5000 0.2221 1